w:
First-principles (PBE) data for an optimized crystal structure of KSr2Ir2, as listed in Alexandria.

```
data_KSr2Ir2
_chemical_formula_sum 'K2 Sr4 Ir4'
_symmetry_space_group_name_H-M 'I 4/m m m'
_symmetry_Int_Tables_number 139
_symmetry_space_group_name_Hall '-I 4 2'
_cell_length_a 5.4914
_cell_length_b 5.4914
_cell_length_c 10.4915
_cell_angle_alpha 90.00
_cell_angle_beta 90.00
_cell_angle_gamma 90.00
loop_
_atom_site_label
_atom_site_fract_x
_atom_site_fract_y
_atom_site_fract_z
K1 0.0000 0.0000 0.0000
Sr1 0.0000 0.5000 0.2500
Ir1 0.0000 0.0000 0.3828
```

x:
First-principles (PBE) data for an optimized crystal structure of KSr2Ir2, as listed in Alexandria.

```
data_KSr2Ir2
_chemical_formula_sum 'K2 Sr4 Ir4'
_symmetry_space_group_name_H-M 'P 4/m b m'
_symmetry_Int_Tables_number 127
_symmetry_space_group_name_Hall '-P 4 2ab'
_cell_length_a 9.1248
_cell_length_b 9.1248
_cell_length_c 3.1962
_cell_angle_alpha 90.00
_cell_angle_beta 90.00
_cell_angle_gamma 90.00
loop_
_atom_site_label
_atom_site_fract_x
_atom_site_fract_y
_atom_site_fract_z
K1 0.0000 0.0000 0.0000
Sr1 0.1364 0.3636 0.5000
Ir1 0.1588 0.6588 0.0000
```

x takes first place; second place is 0.049 eV/atom up.